[1]
A relaxed structure of Ga2PF. Source: Alexandria, functional PBE-GGA.

DOS(E_F) (states/eV/atom): 0.311
Distance to the lowest polymorph of the same formula (eV per atom): 0.0475
Magnetic moment (μB per formula unit): 0.0
Formation energy from raw total energies (eV/f.u.): -2.35

Cell: 4.785 4.785 13.126 Å, 90.00 90.00 90.00°
Space group I-42d (No. 122)
Inequivalent atoms, fractional coordinates:
Ga1 0.204 0.250 0.125 (multiplicity 8)
P1 0.000 0.000 0.500 (multiplicity 4)
F1 0.000 0.000 0.000 (multiplicity 4)

[2]
A relaxed structure of GaP3F. Source: Alexandria, functional PBE-GGA.

DOS(E_F) (states/eV/atom): 1.111
Distance to the lowest polymorph of the same formula (eV per atom): 0.0000
Magnetic moment (μB per formula unit): 0.0
Formation energy from raw total energies (eV/f.u.): 3.62

Cell: 4.407 4.407 4.407 Å, 90.00 90.00 90.00°
Space group Pm-3m (No. 221)
Inequivalent atoms, fractional coordinates:
Ga1 0.000 0.000 0.000 (multiplicity 1)
P1 0.000 0.500 0.500 (multiplicity 3)
F1 0.500 0.500 0.500 (multiplicity 1)

[3]
A relaxed structure of Ga3PF. Source: Alexandria, functional PBE-GGA.

DOS(E_F) (states/eV/atom): 0.414
Distance to the lowest polymorph of the same formula (eV per atom): 0.1377
Magnetic moment (μB per formula unit): 0.0
Formation energy from raw total energies (eV/f.u.): -0.14

Cell: 4.908 4.908 4.908 Å, 90.00 90.00 90.00°
Space group Pm-3m (No. 221)
Inequivalent atoms, fractional coordinates:
Ga1 0.000 0.000 0.500 (multiplicity 3)
P1 0.000 0.000 0.000 (multiplicity 1)
F1 0.500 0.500 0.500 (multiplicity 1)

[4]
A relaxed structure of GaP3F. Source: Alexandria, functional PBE-GGA.

DOS(E_F) (states/eV/atom): 1.038
Distance to the lowest polymorph of the same formula (eV per atom): 0.1338
Magnetic moment (μB per formula unit): 0.0
Formation energy from raw total energies (eV/f.u.): 4.29

Cell: 4.682 4.682 4.682 Å, 90.00 90.00 90.00°
Space group Pm-3m (No. 221)
Inequivalent atoms, fractional coordinates:
Ga1 0.000 0.000 0.000 (multiplicity 1)
P1 0.000 0.000 0.500 (multiplicity 3)
F1 0.500 0.500 0.500 (multiplicity 1)

[5]
A relaxed structure of Ga3PF. Source: Alexandria, functional PBE-GGA.

DOS(E_F) (states/eV/atom): 0.693
Distance to the lowest polymorph of the same formula (eV per atom): 0.0000
Magnetic moment (μB per formula unit): 0.0
Formation energy from raw total energies (eV/f.u.): -0.83

Cell: 4.633 4.633 4.633 Å, 90.00 90.00 90.00°
Space group Pm-3m (No. 221)
Inequivalent atoms, fractional coordinates:
Ga1 0.000 0.000 0.500 (multiplicity 3)
P1 0.500 0.500 0.500 (multiplicity 1)
F1 0.000 0.000 0.000 (multiplicity 1)

[6]
A relaxed structure of Ga2PF. Source: Alexandria, functional PBE-GGA.

DOS(E_F) (states/eV/atom): 0.135
Distance to the lowest polymorph of the same formula (eV per atom): 0.0000
Magnetic moment (μB per formula unit): 0.0
Formation energy from raw total energies (eV/f.u.): -2.54

Cell: 6.238 6.238 6.238 Å, 90.00 90.00 90.00°
Space group Fm-3m (No. 225)
Inequivalent atoms, fractional coordinates:
Ga1 0.250 0.250 0.250 (multiplicity 8)
P1 0.000 0.000 0.000 (multiplicity 4)
F1 0.000 0.000 0.500 (multiplicity 4)

[7]
A relaxed structure of GaPPbF2. Source: Alexandria, functional PBE-GGA.

DOS(E_F) (states/eV/atom): 0.326
Magnetic moment (μB per formula unit): 0.0
Formation energy from raw total energies (eV/f.u.): -3.46

Cell: 4.088 4.088 6.047 Å, 90.00 90.00 90.00°
Space group P4/mmm (No. 123)
Inequivalent atoms, fractional coordinates:
Ga1 0.000 0.000 0.000 (multiplicity 1)
P1 0.500 0.500 0.500 (multiplicity 1)
Pb1 0.500 0.500 0.000 (multiplicity 1)
F1 0.000 0.500 0.500 (multiplicity 2)

[8]
A relaxed structure of Rb2GaPF6. Source: Alexandria, functional PBE-GGA.

DOS(E_F) (states/eV/atom): 0.000
Magnetic moment (μB per formula unit): 0.0
Formation energy from raw total energies (eV/f.u.): -22.02

Cell: 8.977 8.977 8.977 Å, 90.00 90.00 90.00°
Space group Fm-3m (No. 225)
Inequivalent atoms, fractional coordinates:
Rb1 0.250 0.250 0.250 (multiplicity 8)
Ga1 0.000 0.000 0.000 (multiplicity 4)
P1 0.000 0.000 0.500 (multiplicity 4)
F1 0.000 0.000 0.278 (multiplicity 24)

[9]
A relaxed structure of GaP2SF. Source: Alexandria, functional PBE-GGA.

DOS(E_F) (states/eV/atom): 0.719
Distance to the lowest polymorph of the same formula (eV per atom): 0.1021
Magnetic moment (μB per formula unit): 0.0
Formation energy from raw total energies (eV/f.u.): 3.51

Cell: 4.722 4.722 4.603 Å, 90.00 90.00 90.00°
Space group P4/mmm (No. 123)
Inequivalent atoms, fractional coordinates:
Ga1 0.000 0.000 0.000 (multiplicity 1)
P1 0.000 0.500 0.000 (multiplicity 2)
S1 0.000 0.000 0.500 (multiplicity 1)
F1 0.500 0.500 0.500 (multiplicity 1)

[10]
A relaxed structure of GaP2SF. Source: Alexandria, functional PBE-GGA.

DOS(E_F) (states/eV/atom): 0.622
Distance to the lowest polymorph of the same formula (eV per atom): 0.0000
Magnetic moment (μB per formula unit): 0.0
Formation energy from raw total energies (eV/f.u.): 3.00

Cell: 4.119 4.119 5.298 Å, 90.00 90.00 90.00°
Space group P4/mmm (No. 123)
Inequivalent atoms, fractional coordinates:
Ga1 0.000 0.000 0.000 (multiplicity 1)
P1 0.000 0.500 0.500 (multiplicity 2)
S1 0.500 0.500 0.000 (multiplicity 1)
F1 0.500 0.500 0.500 (multiplicity 1)

[11]
A relaxed structure of GaPS2F. Source: Alexandria, functional PBE-GGA.

DOS(E_F) (states/eV/atom): 0.761
Distance to the lowest polymorph of the same formula (eV per atom): 0.0000
Magnetic moment (μB per formula unit): 0.0
Formation energy from raw total energies (eV/f.u.): 2.71

Cell: 5.055 5.055 3.661 Å, 90.00 90.00 90.00°
Space group P4/mmm (No. 123)
Inequivalent atoms, fractional coordinates:
Ga1 0.000 0.000 0.000 (multiplicity 1)
P1 0.500 0.500 0.000 (multiplicity 1)
S1 0.000 0.500 0.500 (multiplicity 2)
F1 0.500 0.500 0.500 (multiplicity 1)

[12]
A relaxed structure of GaPS2F. Source: Alexandria, functional PBE-GGA.

DOS(E_F) (states/eV/atom): 0.757
Distance to the lowest polymorph of the same formula (eV per atom): 0.0440
Magnetic moment (μB per formula unit): 0.5
Formation energy from raw total energies (eV/f.u.): 2.93

Cell: 4.609 4.609 4.850 Å, 90.00 90.00 90.00°
Space group P4/mmm (No. 123)
Inequivalent atoms, fractional coordinates:
Ga1 0.000 0.000 0.000 (multiplicity 1)
P1 0.000 0.000 0.500 (multiplicity 1)
S1 0.000 0.500 0.000 (multiplicity 2)
F1 0.500 0.500 0.500 (multiplicity 1)

[13]
A relaxed structure of SrGaPF. Source: Alexandria, functional PBE-GGA.

DOS(E_F) (states/eV/atom): 0.282
Magnetic moment (μB per formula unit): 0.0
Formation energy from raw total energies (eV/f.u.): -6.97

Cell: 4.469 4.469 7.928 Å, 90.00 90.00 90.00°
Space group P4/nmm (No. 129, origin choice 2)
Inequivalent atoms, fractional coordinates:
Sr1 0.250 0.250 0.155 (multiplicity 2)
Ga1 0.250 0.750 0.500 (multiplicity 2)
P1 0.250 0.250 0.645 (multiplicity 2)
F1 0.250 0.750 0.000 (multiplicity 2)

[14]
A relaxed structure of TiGaP2F. Source: Alexandria, functional PBE-GGA.

DOS(E_F) (states/eV/atom): 0.403
Magnetic moment (μB per formula unit): 0.0
Formation energy from raw total energies (eV/f.u.): -0.53

Cell: 4.567 4.567 5.279 Å, 90.00 90.00 90.00°
Space group P4/mmm (No. 123)
Inequivalent atoms, fractional coordinates:
Ti1 0.000 0.000 0.000 (multiplicity 1)
Ga1 0.000 0.000 0.500 (multiplicity 1)
P1 0.000 0.500 0.000 (multiplicity 2)
F1 0.500 0.500 0.500 (multiplicity 1)

[15]
A relaxed structure of PaGaF. Source: Alexandria, functional PBE-GGA.

DOS(E_F) (states/eV/atom): 1.486
Magnetic moment (μB per formula unit): 0.5
Formation energy from raw total energies (eV/f.u.): -3.91

Cell: 5.714 5.616 7.921 Å, 90.00 101.72 90.00°
Space group C2/m (No. 12)
Inequivalent atoms, fractional coordinates:
Pa1 0.074 0.000 0.257 (multiplicity 4)
Ga1 0.119 0.500 0.383 (multiplicity 4)
F1 0.213 0.000 0.999 (multiplicity 4)

[16]
A relaxed structure of PaGaF6. Source: Alexandria, functional PBE-GGA.

DOS(E_F) (states/eV/atom): 0.000
Magnetic moment (μB per formula unit): 0.0
Formation energy from raw total energies (eV/f.u.): -26.03

Cell: 6.237 8.777 5.916 Å, 90.00 98.58 90.00°
Space group C2/m (No. 12)
Inequivalent atoms, fractional coordinates:
Pa1 0.000 0.000 0.000 (multiplicity 2)
Ga1 0.000 0.500 0.500 (multiplicity 2)
F1 0.188 0.161 0.210 (multiplicity 8)
F2 0.233 0.000 0.772 (multiplicity 4)

[17]
A relaxed structure of PaGa3F8. Source: Alexandria, functional PBE-GGA.

DOS(E_F) (states/eV/atom): 0.000
Magnetic moment (μB per formula unit): 0.0
Formation energy from raw total energies (eV/f.u.): -32.35

Cell: 5.937 5.937 5.937 Å, 90.00 90.00 90.00°
Space group Pm-3m (No. 221)
Inequivalent atoms, fractional coordinates:
Pa1 0.000 0.000 0.000 (multiplicity 1)
Ga1 0.000 0.500 0.500 (multiplicity 3)
F1 0.217 0.217 0.217 (multiplicity 8)

[18]
A relaxed structure of Pa2GaF11. Source: Alexandria, functional PBE-GGA.

DOS(E_F) (states/eV/atom): 0.000
Magnetic moment (μB per formula unit): 0.0
Formation energy from raw total energies (eV/f.u.): -48.98

Cell: 8.640 10.844 11.775 Å, 90.00 90.00 90.00°
Space group Ibam (No. 72)
Inequivalent atoms, fractional coordinates:
Pa1 0.143 0.181 0.000 (multiplicity 8)
Ga1 0.000 0.500 0.250 (multiplicity 4)
F1 0.000 0.000 0.000 (multiplicity 4)
F2 0.096 0.304 0.132 (multiplicity 16)
F3 0.132 0.219 0.500 (multiplicity 8)
F4 0.249 0.423 0.374 (multiplicity 16)

[19]
A relaxed structure of PaTlGa2F8. Source: Alexandria, functional PBE-GGA.

DOS(E_F) (states/eV/atom): 0.000
Magnetic moment (μB per formula unit): 0.0
Formation energy from raw total energies (eV/f.u.): -32.98

Cell: 5.987 5.987 12.341 Å, 90.00 90.00 90.00°
Space group I-4m2 (No. 119)
Inequivalent atoms, fractional coordinates:
Pa1 0.000 0.000 0.000 (multiplicity 2)
Tl1 0.000 0.500 0.750 (multiplicity 2)
Ga1 0.000 0.000 0.500 (multiplicity 2)
Ga2 0.000 0.500 0.250 (multiplicity 2)
F1 0.213 0.219 0.104 (multiplicity 16)

[20]
A relaxed structure of PaTl2GaF8. Source: Alexandria, functional PBE-GGA.

DOS(E_F) (states/eV/atom): 0.000
Magnetic moment (μB per formula unit): 0.0
Formation energy from raw total energies (eV/f.u.): -33.71

Cell: 6.236 6.236 11.951 Å, 90.00 90.00 90.00°
Space group I-4m2 (No. 119)
Inequivalent atoms, fractional coordinates:
Pa1 0.000 0.000 0.000 (multiplicity 2)
Tl1 0.000 0.000 0.500 (multiplicity 2)
Tl2 0.000 0.500 0.250 (multiplicity 2)
Ga1 0.000 0.500 0.750 (multiplicity 2)
F1 0.204 0.210 0.892 (multiplicity 16)

[21]
A relaxed structure of GaPbF5. Source: Alexandria, functional PBE-GGA.

DOS(E_F) (states/eV/atom): 0.000
Distance to the lowest polymorph of the same formula (eV per atom): 0.0000
Magnetic moment (μB per formula unit): 0.0
Formation energy from raw total energies (eV/f.u.): -17.77

Cell: 9.371 6.877 7.927 Å, 90.00 114.30 90.00°
Space group C2/c (No. 15)
Inequivalent atoms, fractional coordinates:
Ga1 0.000 0.000 0.000 (multiplicity 4)
Pb1 0.000 0.458 0.250 (multiplicity 4)
F1 0.000 0.059 0.250 (multiplicity 4)
F2 0.004 0.279 0.968 (multiplicity 8)
F3 0.218 0.006 0.607 (multiplicity 8)

[22]
A relaxed structure of GaPb2F7. Source: Alexandria, functional PBE-GGA.

DOS(E_F) (states/eV/atom): 0.000
Magnetic moment (μB per formula unit): 0.0
Formation energy from raw total energies (eV/f.u.): -24.63

Cell: 12.325 7.329 8.904 Å, 90.00 128.69 90.00°
Space group C2/c (No. 15)
Inequivalent atoms, fractional coordinates:
Ga1 0.000 0.113 0.250 (multiplicity 4)
Pb1 0.157 0.395 0.739 (multiplicity 8)
F1 0.000 0.140 0.750 (multiplicity 4)
F2 0.094 0.466 0.959 (multiplicity 8)
F3 0.122 0.107 0.527 (multiplicity 8)
F4 0.128 0.238 0.246 (multiplicity 8)